[1]
{
  "formula": "TlInHg",
  "functional": "PBE",
  "state": "optimized geometry",
  "magmom_total_mub_per_atom": 0.000,
  "crystal_system": "orthorhombic",
  "final_energy_ev_per_fu": -5.38,
  "lattice_angstrom": [[-2.451, 3.832, 4.635], [2.451, -3.832, 4.635], [2.451, 3.832, -4.635]],
  "species": ["Tl", "Tl", "In", "In", "Hg", "Hg"],
  "frac_coords": [[0.000, 0.000, 0.000], [0.600, 0.100, 0.500], [0.008, 0.713, 0.295], [0.418, 0.713, 0.705], [0.185, 0.394, 0.790], [0.604, 0.394, 0.210]]
}

=====

[2]
{
  "formula": "TlInHg2",
  "functional": "PBE",
  "state": "optimized geometry",
  "magmom_total_mub_per_atom": 0.000,
  "crystal_system": "orthorhombic",
  "final_energy_ev_per_fu": -5.64,
  "lattice_angstrom": [[1.939, -2.848, 0.000], [1.939, 2.848, 0.000], [0.000, 0.000, 10.213]],
  "species": ["Tl", "In", "Hg", "Hg"],
  "frac_coords": [[0.000, 0.000, 0.000], [0.500, 0.500, 0.732], [0.000, 0.000, 0.494], [0.500, 0.500, 0.257]]
}

=====

[3]
{
  "formula": "Tl7InHg4",
  "functional": "PBE",
  "state": "optimized geometry",
  "relative_energy_kj_per_mol_atoms": 0.0,
  "magmom_total_mub_per_atom": 0.000,
  "crystal_system": "trigonal",
  "lattice_angstrom": [[5.582, 0.000, 0.000], [-2.791, 4.834, 0.000], [0.000, 0.000, 13.084]],
  "species": ["Tl", "Tl", "Tl", "Tl", "Tl", "Tl", "Tl", "In", "Hg", "Hg", "Hg", "Hg"],
  "frac_coords": [[0.000, 0.000, 0.000], [0.000, 0.000, 0.258], [0.000, 0.000, 0.742], [0.333, 0.667, 0.148], [0.333, 0.667, 0.417], [0.667, 0.333, 0.583], [0.667, 0.333, 0.852], [0.000, 0.000, 0.500], [0.333, 0.667, 0.666], [0.333, 0.667, 0.903], [0.667, 0.333, 0.097], [0.667, 0.333, 0.334]]
}

=====

[4]
{
  "formula": "Tl2InHg",
  "functional": "PBE",
  "state": "optimized geometry",
  "relative_energy_kj_per_mol_atoms": 1.9,
  "magmom_total_mub_per_atom": 0.000,
  "crystal_system": "cubic",
  "lattice_angstrom": [[0.000, 3.863, 3.863], [3.863, 0.000, 3.863], [3.863, 3.863, 0.000]],
  "species": ["Tl", "Tl", "In", "Hg"],
  "frac_coords": [[0.250, 0.250, 0.250], [0.750, 0.750, 0.750], [0.000, 0.000, 0.000], [0.500, 0.500, 0.500]]
}

=====

[5]
{
  "formula": "TlIn10Hg2",
  "functional": "PBE",
  "state": "optimized geometry",
  "magmom_total_mub_per_atom": 0.000,
  "crystal_system": "orthorhombic",
  "final_energy_ev_per_fu": -29.69,
  "lattice_angstrom": [[0.000, 7.610, 7.667], [3.161, 0.000, 7.667], [3.161, 7.610, 0.000]],
  "species": ["Tl", "In", "In", "In", "In", "In", "In", "In", "In", "In", "In", "Hg", "Hg"],
  "frac_coords": [[0.000, 0.000, 0.000], [0.000, 0.000, 0.500], [0.001, 0.352, 0.648], [0.288, 0.497, 0.503], [0.352, 0.001, 0.999], [0.497, 0.288, 0.712], [0.500, 0.500, 0.000], [0.503, 0.712, 0.288], [0.648, 0.999, 0.001], [0.712, 0.503, 0.497], [0.999, 0.648, 0.352], [0.000, 0.500, 0.000], [0.500, 0.000, 0.500]]
}

=====

[6]
{
  "formula": "TlIn8Hg5",
  "functional": "PBE",
  "state": "optimized geometry",
  "magmom_total_mub_per_atom": 0.000,
  "crystal_system": "tetragonal",
  "final_energy_ev_per_fu": -25.41,
  "lattice_angstrom": [[-4.618, 4.618, 4.552], [4.618, -4.618, 4.552], [4.618, 4.618, -4.552]],
  "species": ["Tl", "In", "In", "In", "In", "In", "In", "In", "In", "Hg", "Hg", "Hg", "Hg", "Hg"],
  "frac_coords": [[0.000, 0.000, 0.000], [0.043, 0.617, 0.743], [0.228, 0.477, 0.092], [0.383, 0.125, 0.425], [0.385, 0.136, 0.908], [0.523, 0.615, 0.751], [0.700, 0.957, 0.575], [0.864, 0.772, 0.249], [0.875, 0.300, 0.257], [0.113, 0.234, 0.613], [0.250, 0.750, 0.500], [0.501, 0.887, 0.121], [0.620, 0.499, 0.387], [0.766, 0.380, 0.879]]
}

=====

[7]
{
  "formula": "Tl3In4Hg",
  "functional": "PBE",
  "state": "optimized geometry",
  "magmom_total_mub_per_atom": 0.000,
  "crystal_system": "monoclinic",
  "final_energy_ev_per_fu": -18.14,
  "lattice_angstrom": [[11.548, -1.702, 0.000], [11.548, 1.702, 0.000], [-0.279, 0.000, 5.805]],
  "species": ["Tl", "Tl", "Tl", "In", "In", "In", "In", "Hg"],
  "frac_coords": [[0.000, 0.000, 0.000], [0.124, 0.124, 0.424], [0.876, 0.876, 0.576], [0.249, 0.249, 0.749], [0.369, 0.369, 0.076], [0.631, 0.631, 0.924], [0.751, 0.751, 0.251], [0.500, 0.500, 0.500]]
}

=====

[8]
{
  "formula": "TlIn4Hg",
  "functional": "PBE",
  "state": "optimized geometry",
  "relative_energy_kj_per_mol_atoms": 0.1,
  "magmom_total_mub_per_atom": 0.000,
  "crystal_system": "monoclinic",
  "lattice_angstrom": [[5.261, -2.287, 0.000], [5.261, 2.287, 0.000], [-1.722, 0.000, 6.823]],
  "species": ["Tl", "In", "In", "In", "In", "Hg"],
  "frac_coords": [[0.000, 0.000, 0.000], [0.331, 0.331, 0.174], [0.336, 0.336, 0.659], [0.664, 0.664, 0.341], [0.669, 0.669, 0.826], [0.000, 0.000, 0.500]]
}

=====

[9]
{
  "formula": "Tl2In3Hg",
  "functional": "PBE",
  "state": "optimized geometry",
  "relative_energy_kj_per_mol_atoms": 7.9,
  "magmom_total_mub_per_atom": 0.000,
  "crystal_system": "orthorhombic",
  "lattice_angstrom": [[7.218, -4.140, 0.000], [7.218, 4.140, 0.000], [0.000, 0.000, 6.262]],
  "species": ["Tl", "Tl", "Tl", "Tl", "In", "In", "In", "In", "In", "In", "Hg", "Hg"],
  "frac_coords": [[0.024, 0.335, 0.250], [0.335, 0.024, 0.750], [0.665, 0.976, 0.250], [0.976, 0.665, 0.750], [0.000, 0.000, 0.000], [0.000, 0.000, 0.500], [0.357, 0.357, 0.000], [0.357, 0.357, 0.500], [0.643, 0.643, 0.000], [0.643, 0.643, 0.500], [0.309, 0.691, 0.250], [0.691, 0.309, 0.750]]
}

=====

[10]
{
  "formula": "Tl12InHg4",
  "functional": "PBE",
  "state": "optimized geometry",
  "magmom_total_mub_per_atom": 0.000,
  "crystal_system": "trigonal",
  "final_energy_ev_per_fu": -29.69,
  "lattice_angstrom": [[7.438, 4.294, 3.029], [-7.438, 4.294, 3.029], [0.000, -8.588, 3.029]],
  "species": ["Tl", "Tl", "Tl", "Tl", "Tl", "Tl", "Tl", "Tl", "Tl", "Tl", "Tl", "Tl", "In", "Hg", "Hg", "Hg", "Hg"],
  "frac_coords": [[0.151, 0.651, 0.803], [0.152, 0.348, 0.500], [0.197, 0.849, 0.349], [0.348, 0.500, 0.152], [0.349, 0.197, 0.849], [0.500, 0.152, 0.348], [0.500, 0.848, 0.652], [0.651, 0.803, 0.151], [0.652, 0.500, 0.848], [0.803, 0.151, 0.651], [0.848, 0.652, 0.500], [0.849, 0.349, 0.197], [0.000, 0.000, 0.000], [0.000, 0.000, 0.500], [0.000, 0.500, 0.000], [0.500, 0.000, 0.000], [0.500, 0.500, 0.500]]
}

=====

[11]
{
  "formula": "TlIn3Hg4",
  "functional": "PBE",
  "state": "optimized geometry",
  "relative_energy_kj_per_mol_atoms": 5.2,
  "magmom_total_mub_per_atom": 0.000,
  "crystal_system": "monoclinic",
  "lattice_angstrom": [[11.637, -2.120, 0.000], [11.637, 2.120, 0.000], [-0.181, 0.000, 4.801]],
  "species": ["Tl", "In", "In", "In", "Hg", "Hg", "Hg", "Hg"],
  "frac_coords": [[0.000, 0.000, 0.000], [0.305, 0.305, 0.465], [0.500, 0.500, 0.500], [0.695, 0.695, 0.535], [0.099, 0.099, 0.515], [0.190, 0.190, 0.028], [0.810, 0.810, 0.972], [0.901, 0.901, 0.485]]
}

=====

[12]
{
  "formula": "TlIn2Hg2",
  "functional": "PBE",
  "state": "optimized geometry",
  "relative_energy_kj_per_mol_atoms": 4.8,
  "magmom_total_mub_per_atom": 0.000,
  "crystal_system": "tetragonal",
  "lattice_angstrom": [[-2.459, 2.459, 6.204], [2.459, -2.459, 6.204], [2.459, 2.459, -6.204]],
  "species": ["Tl", "In", "In", "Hg", "Hg"],
  "frac_coords": [[0.000, 0.000, 0.000], [0.383, 0.383, 0.000], [0.617, 0.617, 0.000], [0.250, 0.750, 0.500], [0.750, 0.250, 0.500]]
}